1.
# Tl2SiTc | Alexandria via LeMat-Bulk | PBE | relaxed
data_Tl2SiTc
_chemical_formula_sum 'Tl4 Si2 Tc2'
_symmetry_space_group_name_H-M 'I -4 m 2'
_symmetry_Int_Tables_number 119
_symmetry_space_group_name_Hall 'I -4 -2'
_cell_length_a 4.283
_cell_length_b 4.283
_cell_length_c 8.621
_cell_angle_alpha 90.00
_cell_angle_beta 90.00
_cell_angle_gamma 90.00
loop_
_atom_site_label
_atom_site_fract_x
_atom_site_fract_y
_atom_site_fract_z
Tl1 0.000 0.000 0.000
Tl2 0.000 0.500 0.250
Si1 0.000 0.500 0.750
Tc1 0.000 0.000 0.500
# Calculated volume = 19.76 Å³ per atom
# Magnetic moment = 0.70 μB per formula unit
# Energy relative to the elements, uncorrected = 81 kJ/mol of atoms
# D(E_F) = 1.01 states/eV/atom
# Final energy = -4.2947 eV/atom

=====

2.
# Tl2SiTc | Alexandria via LeMat-Bulk | PBE | relaxed
data_Tl2SiTc
_chemical_formula_sum 'Tl4 Si2 Tc2'
_symmetry_space_group_name_H-M 'C m m m'
_symmetry_Int_Tables_number 65
_symmetry_space_group_name_Hall '-C 2 2'
_cell_length_a 3.220
_cell_length_b 5.226
_cell_length_c 9.949
_cell_angle_alpha 90.00
_cell_angle_beta 90.00
_cell_angle_gamma 90.00
loop_
_atom_site_label
_atom_site_fract_x
_atom_site_fract_y
_atom_site_fract_z
Tl1 0.000 0.000 0.236
Si1 0.000 0.500 0.500
Tc1 0.000 0.500 0.000
# Calculated volume = 20.93 Å³ per atom
# Magnetic moment = 0.82 μB per formula unit
# Energy relative to the elements, uncorrected = 83 kJ/mol of atoms
# D(E_F) = 0.63 states/eV/atom
# Final energy = -4.2708 eV/atom